Record 1
A relaxed CsRh2AuO crystal, computed with PBE-GGA.

Structure (extended XYZ):
```
5
Lattice="5.249 0.000 0.000 0.000 4.121 0.000 0.000 0.000 5.249" Properties=species:S:1:pos:R:3 pbc="T T T"
Cs 2.624 2.061 2.624
Rh 0.000 0.000 2.624
Rh 2.624 0.000 0.000
Au 0.000 0.000 0.000
O 0.000 2.061 0.000
```

Output
space group	P4/mmm
crystal system	tetragonal
electronic total energy	-18.936	eV for the cell shown
calculated density	8.1	g/cm3
D(E_F)	8.61	states/eV per cell

Record 2
A relaxed Hg3RuO crystal, computed with PBE-GGA.

Structure (extended XYZ):
```
5
Lattice="-1.775 -3.207 -2.802 2.843 -3.153 1.807 -3.171 -1.031 3.189" Properties=species:S:1:pos:R:3 pbc="T T T"
Ru -1.051 -3.696 1.097
Hg 1.422 -1.576 0.904
Hg -1.586 -0.516 1.595
Hg -0.887 -1.604 -1.401
O 0.000 0.000 0.000
```

Output
space group	Pm-3m
crystal system	cubic
electronic total energy	-10.922	eV for the cell shown
calculated density	12.2	g/cm3
D(E_F)	3.81	states/eV per cell

| no. | formation energy (no corrections) (eV/atom) |
| --- | --- |
| 1 | 0.971 |
| 2 | 0.843 |